Entry 1:
Compound: TcPt3Rh2
Source: the Alexandria database
Functional: PBE
Structure: relaxed

Results
Symmetry: P2_1/m

Unit cell a=3.8804 b=5.5548 c=8.2985 alpha=90.28 beta=90.00 gamma=90.00
Closest atoms and distances in Å follow each position.
Fractional positions:
Pt (0.7500, 0.1205, 0.5828)  4 Pt 2.73-2.74, 5 Rh 2.73-2.82, 3 Tc 2.77-2.79
Pt (0.7500, 0.6312, 0.2527)  5 Pt 2.74-2.84, 2 Tc 2.75-2.81, 5 Rh 2.75-2.79
Pt (0.2500, 0.3724, 0.0896)  5 Rh 2.66-2.85, 2 Tc 2.71, 5 Pt 2.76-2.84
Pt (0.2500, 0.8795, 0.4172)  4 Pt 2.73-2.74, 5 Rh 2.73-2.82, 3 Tc 2.77-2.79
Pt (0.2500, 0.3688, 0.7473)  5 Pt 2.74-2.84, 2 Tc 2.75-2.81, 5 Rh 2.75-2.79
Pt (0.7500, 0.6276, 0.9104)  5 Rh 2.66-2.85, 2 Tc 2.71, 5 Pt 2.76-2.84
Rh (0.7500, 0.1155, 0.9190)  2 Rh 2.69, 7 Pt 2.71-2.85, 3 Tc 2.71-2.72
Rh (0.2500, 0.3713, 0.4106)  8 Pt 2.66-2.82, 2 Tc 2.73, 2 Rh 2.83
Rh (0.7500, 0.6287, 0.5894)  8 Pt 2.66-2.82, 2 Tc 2.73, 2 Rh 2.83
Rh (0.2500, 0.8845, 0.0810)  2 Rh 2.69, 7 Pt 2.71-2.85, 3 Tc 2.71-2.72
Tc (0.2500, 0.8738, 0.7539)  7 Pt 2.71-2.81, 5 Rh 2.71-2.73
Tc (0.7500, 0.1262, 0.2461)  7 Pt 2.71-2.81, 5 Rh 2.71-2.73

Entry 2:
Compound: TcPt3Rh3
Source: the Alexandria database
Functional: PBE
Structure: relaxed

Results
Symmetry: P6_3/m

Unit cell a=2.7074 b=9.9091 c=9.9091 alpha=120.00 beta=90.00 gamma=90.00
Closest atoms and distances in Å follow each position.
Fractional positions:
Pt (0.2500, 0.0756, 0.8061)  3 Rh 2.62-2.77, 6 Pt 2.71-2.74
Pt (0.2500, 0.7305, 0.9244)  3 Rh 2.62-2.77, 6 Pt 2.71-2.74
Pt (0.7500, 0.8061, 0.7305)  3 Rh 2.62-2.77, 6 Pt 2.71-2.74
Pt (0.7500, 0.9244, 0.1939)  3 Rh 2.62-2.77, 6 Pt 2.71-2.74
Pt (0.7500, 0.2695, 0.0756)  3 Rh 2.62-2.77, 6 Pt 2.71-2.74
Pt (0.2500, 0.1939, 0.2695)  3 Rh 2.62-2.77, 6 Pt 2.71-2.74
Rh (0.2500, 0.3739, 0.9011)  2 Tc 2.54, 3 Pt 2.62-2.77, 4 Rh 2.65-2.71
Rh (0.2500, 0.5272, 0.6261)  2 Tc 2.54, 3 Pt 2.62-2.77, 4 Rh 2.65-2.71
Rh (0.7500, 0.9011, 0.5272)  2 Tc 2.54, 3 Pt 2.62-2.77, 4 Rh 2.65-2.71
Rh (0.7500, 0.6261, 0.0989)  2 Tc 2.54, 3 Pt 2.62-2.77, 4 Rh 2.65-2.71
Rh (0.7500, 0.4728, 0.3739)  2 Tc 2.54, 3 Pt 2.62-2.77, 4 Rh 2.65-2.71
Rh (0.2500, 0.0989, 0.4728)  2 Tc 2.54, 3 Pt 2.62-2.77, 4 Rh 2.65-2.71
Tc (0.2500, 0.6667, 0.3333)  6 Rh 2.54, 2 Tc 2.71
Tc (0.7500, 0.3333, 0.6667)  6 Rh 2.54, 2 Tc 2.71

Entry 3:
Compound: Tc2PtRh
Source: the Alexandria database
Functional: PBE
Structure: relaxed

Results
Symmetry: P-1

Unit cell a=5.5319 b=5.5220 c=8.1408 alpha=90.27 beta=70.21 gamma=90.77
Closest atoms and distances in Å follow each position.
Fractional positions:
Pt (0.9401, 0.1263, 0.8713)  8 Tc 2.69-2.79, 2 Pt 2.74-2.79, 2 Rh 2.75-2.79
Pt (0.8143, 0.8713, 0.6208)  2 Rh 2.67-2.72, 2 Pt 2.71-2.74, 8 Tc 2.73-2.80
Pt (0.1857, 0.1287, 0.3792)  2 Rh 2.67-2.72, 2 Pt 2.71-2.74, 8 Tc 2.73-2.80
Pt (0.0599, 0.8737, 0.1287)  8 Tc 2.69-2.79, 2 Pt 2.74-2.79, 2 Rh 2.75-2.79
Rh (0.6831, 0.6224, 0.3809)  2 Rh 2.64-2.71, 2 Pt 2.67-2.75, 8 Tc 2.73-2.81
Rh (0.3169, 0.3776, 0.6191)  2 Rh 2.64-2.71, 2 Pt 2.67-2.75, 8 Tc 2.73-2.81
Rh (0.5617, 0.3772, 0.1304)  8 Tc 2.65-2.80, 2 Rh 2.71-2.80, 2 Pt 2.72-2.79
Rh (0.4383, 0.6228, 0.8696)  8 Tc 2.65-2.80, 2 Rh 2.71-2.80, 2 Pt 2.72-2.79
Tc (0.1974, 0.6244, 0.3660)  4 Rh 2.65-2.81, 4 Tc 2.66-2.85, 4 Pt 2.69-2.79
Tc (0.3165, 0.8758, 0.6298)  4 Rh 2.68-2.77, 4 Tc 2.71-2.81, 4 Pt 2.72-2.80
Tc (0.8026, 0.3756, 0.6340)  4 Rh 2.65-2.81, 4 Tc 2.66-2.85, 4 Pt 2.69-2.79
Tc (0.0687, 0.3796, 0.1189)  4 Tc 2.67-2.78, 4 Rh 2.69-2.80, 4 Pt 2.73-2.79
Tc (0.4371, 0.1295, 0.8771)  4 Tc 2.66-2.74, 4 Rh 2.72-2.80, 4 Pt 2.76-2.80
Tc (0.9313, 0.6204, 0.8811)  4 Tc 2.67-2.78, 4 Rh 2.69-2.80, 4 Pt 2.73-2.79
Tc (0.6835, 0.1242, 0.3702)  4 Rh 2.68-2.77, 4 Tc 2.71-2.81, 4 Pt 2.72-2.80
Tc (0.5629, 0.8705, 0.1229)  4 Tc 2.66-2.74, 4 Rh 2.72-2.80, 4 Pt 2.76-2.80

Entry 4:
Compound: TcPtRh2
Source: the Alexandria database
Functional: PBE
Structure: relaxed

Results
Symmetry: R-3m

Unit cell a=9.0934 b=9.0934 c=9.0934 alpha=17.38 beta=17.38 gamma=17.38
Closest atoms and distances in Å follow each position.
Fractional positions:
Rh (0.5040, 0.5040, 0.5040)  3 Tc 2.66, 6 Rh 2.75, 3 Pt 2.83
Rh (0.9960, 0.9960, 0.9960)  3 Tc 2.66, 6 Rh 2.75, 3 Pt 2.83
Pt (0.7500, 0.7500, 0.7500)  6 Pt 2.75, 6 Rh 2.83
Tc (0.2500, 0.2500, 0.2500)  6 Rh 2.66, 6 Tc 2.75

Entry 5:
Compound: TcPtRh2
Source: the Alexandria database
Functional: PBE
Structure: relaxed

Results
Symmetry: F222

Unit cell a=4.7784 b=4.7784 c=4.7752 alpha=132.48 beta=132.47 gamma=69.54
Closest atoms and distances in Å follow each position.
Fractional positions:
Rh (0.7500, 0.2500, 0.5000)  4 Pt 2.72, 4 Tc 2.75, 4 Rh 2.75
Rh (0.0000, 0.0000, 0.0000)  4 Tc 2.72, 4 Rh 2.75, 4 Pt 2.75
Tc (0.5000, 0.5000, 0.0000)  8 Rh 2.72-2.75, 4 Pt 2.75
Pt (0.2500, 0.7500, 0.5000)  8 Rh 2.72-2.75, 4 Tc 2.75

Entry 6:
Compound: Tc3PtRh4
Source: the Alexandria database
Functional: PBE
Structure: relaxed

Results
Symmetry: C2/m

Unit cell a=2.6809 b=4.5219 c=13.0028 alpha=126.79 beta=95.92 gamma=90.00
Closest atoms and distances in Å follow each position.
Fractional positions:
Rh (0.3413, 0.5710, 0.6826)  1 Tc 2.47, 4 Rh 2.50-2.68
Rh (0.6587, 0.4290, 0.3174)  1 Tc 2.47, 4 Rh 2.50-2.68
Rh (0.3948, 0.2600, 0.7896)  4 Rh 2.50-2.68, 4 Tc 2.61-2.75, 1 Pt 2.76
Rh (0.6052, 0.7400, 0.2104)  4 Rh 2.50-2.68, 4 Tc 2.61-2.75, 1 Pt 2.76
Tc (0.0000, 0.5000, 0.0000)  4 Rh 2.61, 4 Pt 2.63, 2 Tc 2.68
Tc (0.2216, 0.1503, 0.4431)  3 Rh 2.47-2.75, 2 Tc 2.68
Tc (0.7784, 0.8497, 0.5569)  3 Rh 2.47-2.75, 2 Tc 2.68
Pt (0.5000, 0.0000, 0.0000)  4 Tc 2.63, 2 Pt 2.68, 2 Rh 2.76

Entry 7:
Compound: TcPt2Rh
Source: the Alexandria database
Functional: PBE
Structure: relaxed

Results
Symmetry: P4/mmm

Unit cell a=2.7478 b=2.7478 c=7.8937 alpha=90.00 beta=90.00 gamma=90.00
Closest atoms and distances in Å follow each position.
Fractional positions:
Pt (0.0000, 0.0000, 0.9940)  4 Tc 2.74, 4 Pt 2.75, 4 Rh 2.80
Pt (0.0000, 0.0000, 0.5060)  4 Tc 2.74, 4 Pt 2.75, 4 Rh 2.80
Rh (0.5000, 0.5000, 0.2500)  4 Rh 2.75, 8 Pt 2.80
Tc (0.5000, 0.5000, 0.7500)  8 Pt 2.74, 4 Tc 2.75

Entry 8:
Compound: TcPt5Rh4
Source: the Alexandria database
Functional: PBE
Structure: relaxed

Results
Symmetry: P4/mmm

Unit cell a=2.7574 b=2.7574 c=19.5890 alpha=90.00 beta=90.00 gamma=90.00
Closest atoms and distances in Å follow each position.
Fractional positions:
Pt (0.5000, 0.5000, 0.6993)  8 Rh 2.75-2.76, 4 Pt 2.76
Pt (0.5000, 0.5000, 0.0980)  4 Tc 2.74, 4 Pt 2.76, 4 Rh 2.82
Pt (0.5000, 0.5000, 0.5000)  4 Pt 2.76, 8 Rh 2.76
Pt (0.5000, 0.5000, 0.9020)  4 Tc 2.74, 4 Pt 2.76, 4 Rh 2.82
Pt (0.5000, 0.5000, 0.3007)  8 Rh 2.75-2.76, 4 Pt 2.76
Rh (0.0000, 0.0000, 0.2017)  8 Pt 2.75-2.82, 4 Rh 2.76
Rh (0.0000, 0.0000, 0.5999)  8 Pt 2.76, 4 Rh 2.76
Rh (0.0000, 0.0000, 0.7983)  8 Pt 2.75-2.82, 4 Rh 2.76
Rh (0.0000, 0.0000, 0.4001)  8 Pt 2.76, 4 Rh 2.76
Tc (0.0000, 0.0000, 0.0000)  8 Pt 2.74, 4 Tc 2.76

Entry 9:
Compound: Tc2Pt2Rh15
Source: the Alexandria database
Functional: PBE
Structure: relaxed

Results
Symmetry: R-3m

Unit cell a=6.7549 b=6.7549 c=6.7549 alpha=80.40 beta=80.40 gamma=80.40
Closest atoms and distances in Å follow each position.
Fractional positions:
Rh (0.6694, 0.3306, 0.0000)  9 Rh 2.66-2.95, 2 Pt 2.98
Rh (0.8355, 0.3365, 0.3365)  8 Rh 2.51-2.71, 1 Tc 2.77
Rh (0.6694, 0.0000, 0.3306)  9 Rh 2.66-2.95, 2 Pt 2.98
Rh (0.6635, 0.6635, 0.1645)  8 Rh 2.51-2.71, 1 Tc 2.77
Rh (0.3365, 0.3365, 0.8355)  8 Rh 2.51-2.71, 1 Tc 2.77
Rh (0.5000, 0.0000, 0.0000)  8 Rh 2.52-2.67, 2 Tc 2.75
Rh (0.0000, 0.0000, 0.5000)  8 Rh 2.52-2.67, 2 Tc 2.75
Rh (0.0000, 0.5000, 0.0000)  8 Rh 2.52-2.67, 2 Tc 2.75
Rh (0.6635, 0.1645, 0.6635)  8 Rh 2.51-2.71, 1 Tc 2.77
Rh (0.3306, 0.6694, 0.0000)  9 Rh 2.66-2.95, 2 Pt 2.98
Rh (0.0000, 0.6694, 0.3306)  9 Rh 2.66-2.95, 2 Pt 2.98
Rh (0.3306, 0.0000, 0.6694)  9 Rh 2.66-2.95, 2 Pt 2.98
Rh (0.3365, 0.8355, 0.3365)  8 Rh 2.51-2.71, 1 Tc 2.77
Rh (0.0000, 0.3306, 0.6694)  9 Rh 2.66-2.95, 2 Pt 2.98
Rh (0.1645, 0.6635, 0.6635)  8 Rh 2.51-2.71, 1 Tc 2.77
Tc (0.0850, 0.0850, 0.0850)  1 Tc 2.30
Tc (0.9150, 0.9150, 0.9150)  1 Tc 2.30
Pt (0.7098, 0.7098, 0.7098)  1 Tc 2.77, 12 Rh 2.98-3.02
Pt (0.2902, 0.2902, 0.2902)  1 Tc 2.77, 12 Rh 2.98-3.02

Entry 10:
Compound: Tc2PtRh
Source: the Alexandria database
Functional: PBE
Structure: relaxed

Results
Symmetry: P4mm

Unit cell a=2.7438 b=2.7438 c=7.8001 alpha=90.00 beta=90.00 gamma=90.00
Closest atoms and distances in Å follow each position.
Fractional positions:
Pt (0.0000, 0.0000, 0.4958)  4 Pt 2.74, 4 Tc 2.77, 4 Rh 2.83
Tc (0.5000, 0.5000, 0.2416)  8 Tc 2.69-2.74, 4 Pt 2.77
Tc (0.0000, 0.0000, 0.0020)  8 Tc 2.69-2.74, 4 Rh 2.70
Rh (0.5000, 0.5000, 0.7606)  4 Tc 2.70, 4 Rh 2.74, 4 Pt 2.83

Number 1: raw total energy -7.3044 eV per atom, formation energy -106 meV/atom. Number 2: raw total energy -7.0278 eV per atom, formation energy 193 meV/atom. Number 3: raw total energy -8.6488 eV per atom, formation energy -118 meV/atom. Number 4: raw total energy -7.8862 eV per atom, formation energy -109 meV/atom. Number 5: raw total energy -7.8555 eV per atom, formation energy -78 meV/atom. Number 6: raw total energy -8.0330 eV per atom, formation energy 285 meV/atom. Number 7: raw total energy -7.5725 eV per atom, formation energy -123 meV/atom. Number 8: raw total energy -7.0636 eV per atom, formation energy -66 meV/atom. Number 9: raw total energy -7.2009 eV per atom, formation energy 330 meV/atom. Number 10: raw total energy -8.6469 eV per atom, formation energy -116 meV/atom.